6
Lattice="5.3753 0.0000 0.0000 0.0000 1.6854 9.3414 0.0000 -1.6854 9.3414" Properties=species:S:1:pos:R:3 comment="BaSc5 PBE optimized geometry" sg="Amm2, No. 38" formation_energy_ev_per_atom=0.216 e_above_lowest_polymorph_mev_per_atom=16 pbc="T T T"
Ba 0.0000 0.0000 0.0000
Sc 0.0000 0.0000 6.0511
Sc 0.0000 0.0000 12.6836
Sc 2.6877 0.0000 4.3277
Sc 2.6877 0.0000 10.8606
Sc 2.6877 0.0000 16.4778